# 1
YCd2P | the Alexandria database | PBE-GGA | optimized geometry; SG = P4mm
1.0
-3.2640 0.6096 1.9512
0.4226 -3.3954 1.7678
3.5031 2.9991 4.9229
P Cd Y
1 2 1
Direct
0.0000 0.0000 0.6089 P
0.5000 0.5000 0.1942 Cd
0.0000 0.0000 0.0116 Cd
0.5000 0.5000 0.6853 Y

***

# 2
Y2CdP | the Alexandria database | PBE-GGA | optimized geometry; SG = F-43m; distance to the lowest polymorph of the same formula = 1029 meV/atom
1.0
-4.9941 0.9792 0.6561
-2.5868 2.6378 -3.5610
-3.4856 -2.3737 -2.9233
Y Cd P
2 1 1
Direct
0.7500 0.7500 0.7500 Y
0.0000 0.0000 0.0000 Y
0.5000 0.5000 0.5000 Cd
0.2500 0.2500 0.2500 P

***

# 3
Y2CdP | the Alexandria database | PBE-GGA | optimized geometry; SG = Amm2; distance to the lowest polymorph of the same formula = 149 meV/atom
1.0
1.5347 5.7156 0.6907
-4.5403 -3.1295 -2.2566
-1.8276 0.0557 3.6000
Cd Y P
1 2 1
Direct
0.4547 0.5453 0.0000 Cd
0.0263 0.9737 0.5000 Y
0.7362 0.2638 0.0000 Y
0.2827 0.7173 0.5000 P

***

# 4
YCd2P | the Alexandria database | PBE-GGA | optimized geometry; SG = R-3m
1.0
1.6862 2.5061 5.6634
-2.6276 2.8109 5.1374
-0.8366 -0.9906 6.2862
Cd P Y
2 1 1
Direct
0.2304 0.2304 0.2304 Cd
0.7696 0.7696 0.7696 Cd
0.5000 0.5000 0.5000 P
0.0000 0.0000 0.0000 Y

***

# 5
Y2CdP | the Alexandria database | PBE-GGA | optimized geometry; SG = P4/mmm; distance to the lowest polymorph of the same formula = 189 meV/atom
1.0
3.6504 0.0000 0.0000
0.0000 3.6504 0.0000
0.0000 0.0000 6.9435
Y Cd P
2 1 1
Direct
0.0000 0.0000 0.7239 Y
0.0000 0.0000 0.2761 Y
0.5000 0.5000 0.0000 Cd
0.5000 0.5000 0.5000 P

***

# 6
Y2CdP | the Alexandria database | PBE-GGA | optimized geometry; SG = Immm; distance to the lowest polymorph of the same formula = 331 meV/atom
1.0
-4.9643 -2.4721 -0.3988
-1.6954 -0.1580 5.2930
1.3853 3.9172 -3.6947
P Y Cd
1 2 1
Direct
0.0000 0.5000 0.5000 P
0.2180 0.2180 0.0000 Y
0.7820 0.7820 0.0000 Y
0.5000 0.0000 0.5000 Cd

***

# 7
YCd2P | the Alexandria database | PBE-GGA | optimized geometry; SG = Cm
1.0
1.8906 4.8156 -0.0020
-1.8906 4.8156 -0.0020
0.0000 2.5474 5.1553
P Y Cd
1 1 2
Direct
0.5145 0.5145 0.6322 P
0.8019 0.8019 0.6382 Y
0.9820 0.9820 0.0124 Cd
0.2016 0.2016 0.2172 Cd

***

# 8
Y2CdP | the Alexandria database | PBE-GGA | optimized geometry; SG = R-3m; distance to the lowest polymorph of the same formula = 0 meV/atom
1.0
-1.6823 2.3117 -2.6584
-3.3940 1.7534 0.8050
2.2321 7.5848 2.3258
Y P Cd
2 1 1
Direct
0.9837 0.9837 0.0484 Y
0.5163 0.5163 0.4516 Y
0.2500 0.2500 0.2500 P
0.7500 0.7500 0.7500 Cd

***

# 9
YCd2P | the Alexandria database | PBE-GGA | optimized geometry; SG = I-42d
1.0
-3.9899 4.3741 5.8600
4.1938 -4.0998 5.9157
2.0771 2.0441 5.8092
P Cd Y
2 4 2
Direct
0.2500 0.7500 0.5000 P
0.5000 0.5000 0.0000 P
0.3750 0.4294 0.7500 Cd
0.1794 0.6250 0.2500 Cd
0.5706 0.1250 0.2500 Cd
0.8750 0.8206 0.7500 Cd
0.7500 0.2500 0.5000 Y
0.0000 0.0000 0.0000 Y

***

# 10
Y2CdP | the Alexandria database | PBE-GGA | optimized geometry; SG = I-42d; distance to the lowest polymorph of the same formula = 367 meV/atom
1.0
-6.9952 3.4072 0.0753
-2.8148 -5.8731 4.2580
-4.0283 0.5013 5.1384
Cd P Y
2 2 4
Direct
0.0000 0.0000 0.0000 Cd
0.7500 0.2500 0.5000 Cd
0.5000 0.5000 0.0000 P
0.2500 0.7500 0.5000 P
0.5891 0.1250 0.2500 Y
0.3750 0.4109 0.7500 Y
0.1609 0.6250 0.2500 Y
0.8750 0.8391 0.7500 Y

***

| no. | uncorrected energy (eV per atom) | formation energy (meV per atom) | calculated volume (Å³/atom) |
| --- | --- | --- | --- |
| 1 | -3.86 | -431 | 25.01 |
| 2 | -4.70 | 118 | 23.88 |
| 3 | -5.58 | -762 | 23.94 |
| 4 | -3.50 | -77 | 24.26 |
| 5 | -5.54 | -723 | 23.13 |
| 6 | -5.39 | -580 | 24.99 |
| 7 | -3.85 | -423 | 23.47 |
| 8 | -5.72 | -911 | 26.16 |
| 9 | -3.81 | -389 | 23.82 |
| 10 | -5.36 | -544 | 26.87 |